Computed, not measured: a relaxed Hf2CrC crystal at the GGA-PBE level of DFT.

Calculated values
- DFT total energy: -9.69 eV/atom

abc: 8.366 8.366 6.212
angles: 47.67 47.67 90.00
Positions (direct):
1 Hf 0.472 0.125 0.250
2 Hf 0.875 0.722 0.750
3 Hf 0.278 0.625 0.250
4 Hf 0.375 0.528 0.750
5 C 0.250 0.750 0.500
6 C 0.500 0.500 0.000
7 Cr 0.000 0.000 0.000
8 Cr 0.750 0.250 0.500

=====

Computed, not measured: a relaxed HfCr2C crystal at the GGA-PBE level of DFT.

Calculated values
- DFT total energy: -8.94 eV/atom

abc: 5.832 5.832 5.527
angles: 58.15 58.15 90.00
Site moments in Bohr magnetons follow the coordinates.
Positions (direct):
1 Hf 0.000 0.000 0.000  -0.15
2 Hf 0.750 0.250 0.500  -0.15
3 C 0.250 0.750 0.500  -0.13
4 C 0.500 0.500 0.000  -0.13
5 Cr 0.263 0.625 0.250  1.83
6 Cr 0.487 0.125 0.250  1.82
7 Cr 0.875 0.737 0.750  1.86
8 Cr 0.375 0.513 0.750  1.85

=====

Computed, not measured: a relaxed HfCr3C crystal at the GGA-PBE level of DFT.

Calculated values
- ΔE to the lowest computed polymorph: 3295 meV/atom
- DFT total energy: -6.30 eV/atom

abc: 4.505 4.505 4.505
angles: 90.00 90.00 90.00
Positions (direct):
1 C 0.500 0.500 0.500
2 Cr 0.000 0.500 0.000
3 Cr 0.500 0.000 0.000
4 Cr 0.000 0.000 0.500
5 Hf 0.000 0.000 0.000

=====

Computed, not measured: a relaxed HfCrC3 crystal at the GGA-PBE level of DFT.

Calculated values
- ΔE to the lowest computed polymorph: 0 meV/atom
- DFT total energy: -8.48 eV/atom

abc: 3.754 3.754 3.754
angles: 90.00 90.00 90.00
Positions (direct):
1 C 0.000 0.000 0.500
2 C 0.500 0.000 0.000
3 C 0.000 0.500 0.000
4 Cr 0.000 0.000 0.000
5 Hf 0.500 0.500 0.500

=====

The following formation energy values (in meV per atom) correspond, in order, to the records above: 3 666 3314 965.